Record 1
# ThCo5Ge2

An optimized crystal structure of ThCo5Ge2 (PBE, Alexandria).

Unit cell a=3.7489 b=6.0190 c=6.0190 alpha=65.63 beta=71.86 gamma=71.86
Last column: nearest neighbours and their distance in Å.
Sites, in units of the cell vectors:
Th1 0.0000 0.0000 0.0000  10 Co 3.05-3.26, 4 Ge 3.06
Co1 0.0000 0.5000 0.5000  2 Ge 2.28
Co2 0.6342 0.5528 0.1787  3 Ge 2.35-2.46, 4 Co 2.44-2.57
Co3 0.3658 0.4472 0.8213  3 Ge 2.35-2.46, 4 Co 2.44-2.57
Co4 0.3658 0.8213 0.4472  3 Ge 2.35-2.46, 4 Co 2.44-2.57
Co5 0.6342 0.1787 0.5528  3 Ge 2.35-2.46, 4 Co 2.44-2.57
Ge1 0.7576 0.7424 0.7424  7 Co 2.28-2.46
Ge2 0.2424 0.2576 0.2576  7 Co 2.28-2.46

Properties
The calculation puts the calculated formation energy at -196 kJ/mol of formula units. The calculation puts the calculated total energy at -6.776 eV per atom.

Record 2
# Li2AcCdAg4

An optimized crystal structure of Li2AcCdAg4 (PBE, Alexandria).

Unit cell a=4.6303 b=4.6303 c=9.8635 alpha=76.43 beta=76.43 gamma=60.00
Last column: nearest neighbours and their distance in Å.
Sites, in units of the cell vectors:
Li1 0.7721 0.7721 0.6837  7 Ag 2.71-3.02
Li2 0.2279 0.2279 0.3163  7 Ag 2.71-3.02
Ac1 0.0000 0.0000 0.0000  8 Ag 3.32-3.47
Cd1 0.5000 0.5000 0.5000  8 Ag 2.78-2.96
Ag1 0.4024 0.4024 0.7928  1 Cd 2.78, 3 Li 2.87, 3 Ag 3.07
Ag2 0.8782 0.8782 0.3654  4 Li 2.71-3.02, 3 Cd 2.96
Ag3 0.1218 0.1218 0.6346  4 Li 2.71-3.02, 3 Cd 2.96
Ag4 0.5976 0.5976 0.2072  1 Cd 2.78, 3 Li 2.87, 3 Ag 3.07

Properties
The calculation puts the calculated formation energy at -137 kJ/mol of formula units. The calculation puts the calculated total energy at -2.709 eV per atom.

Record 3
# ScTaS3

An optimized crystal structure of ScTaS3 (PBE, Alexandria).

Unit cell a=3.5101 b=6.5953 c=8.7785 alpha=104.34 beta=90.00 gamma=90.00
Last column: nearest neighbours and their distance in Å.
Sites, in units of the cell vectors:
Sc1 0.2500 0.7244 0.9784  6 S 2.51-2.69
Sc2 0.7500 0.2756 0.0216  6 S 2.51-2.69
Ta1 0.2500 0.8832 0.3688  6 S 2.43-2.63
Ta2 0.7500 0.1168 0.6312  6 S 2.43-2.63
S1 0.2500 0.0386 0.8328  2 Ta 2.63, 3 Sc 2.64-2.69
S2 0.7500 0.9614 0.1672  2 Ta 2.63, 3 Sc 2.64-2.69
S3 0.2500 0.5063 0.1813  3 Sc 2.51-2.55, 1 Ta 2.62
S4 0.7500 0.4937 0.8187  3 Sc 2.51-2.55, 1 Ta 2.62
S5 0.2500 0.2561 0.4925  3 Ta 2.43-2.44
S6 0.7500 0.7439 0.5075  3 Ta 2.43-2.44

Properties
The energy above the most stable polymorph in this dataset is 0.000 eV per atom. The calculation puts the uncorrected formation energy at -1.41 eV per atom. The calculation puts the calculated total energy at -7.522 eV per atom.

Record 4
# DyThGeS

An optimized crystal structure of DyThGeS (PBE, Alexandria).

Unit cell a=4.1644 b=4.1644 c=7.0131 alpha=72.73 beta=72.73 gamma=60.00
Last column: nearest neighbours and their distance in Å.
Sites, in units of the cell vectors:
Dy1 0.4447 0.4447 0.6660  3 S 2.88, 3 Ge 2.89
Th1 0.9438 0.9438 0.1686  3 S 2.94, 3 Ge 2.95
Ge1 0.6968 0.6968 0.9097  3 Dy 2.89, 3 Th 2.95
S1 0.1912 0.1912 0.4265  3 Dy 2.88, 3 Th 2.94

Properties
The calculation puts the uncorrected formation energy at -1.38 eV per atom. The calculation puts the calculated total energy at -6.571 eV per atom.

Record 5
# LiAlSn2

An optimized crystal structure of LiAlSn2 (PBE, Alexandria).

Unit cell a=4.2101 b=4.5515 c=4.5515 alpha=90.00 beta=90.00 gamma=90.00
Last column: nearest neighbours and their distance in Å.
Sites, in units of the cell vectors:
Li1 0.5000 0.0000 0.0000  8 Sn 3.10, 4 Al 3.22
Sn1 0.0000 0.0000 0.5000  4 Al 3.10, 4 Li 3.10, 4 Sn 3.22
Sn2 0.0000 0.5000 0.0000  4 Al 3.10, 4 Li 3.10, 4 Sn 3.22
Al1 0.5000 0.5000 0.5000  8 Sn 3.10, 4 Li 3.22

Properties
The calculation puts the calculated formation energy at -33 kJ/mol of formula units. The calculation puts the calculated total energy at -3.501 eV per atom.

Record 6
# Ba2PuNpO6

An optimized crystal structure of Ba2PuNpO6 (PBE, Alexandria).

Unit cell a=6.2550 b=6.2548 c=8.8461 alpha=90.00 beta=90.00 gamma=90.00
Last column: nearest neighbours and their distance in Å.
Sites, in units of the cell vectors:
Ba1 0.5000 0.7500 0.2501  12 O 3.13
Ba2 0.0000 0.2500 0.7501  12 O 3.13
Ba3 0.5000 0.7500 0.7499  12 O 3.13
Ba4 0.0000 0.2500 0.2499  12 O 3.13
Pu1 0.0000 0.7499 0.5000  6 O 2.24
Pu2 0.5000 0.2501 0.0000  6 O 2.24
Np1 0.5000 0.2498 0.5000  6 O 2.18
Np2 0.0000 0.7502 0.0000  6 O 2.18
O1 0.5000 0.2499 0.2534  1 Np 2.18, 1 Pu 2.24
O2 0.5000 0.2499 0.7466  1 Np 2.18, 1 Pu 2.24
O3 0.0000 0.7501 0.2466  1 Np 2.18, 1 Pu 2.24
O4 0.0000 0.7501 0.7534  1 Np 2.18, 1 Pu 2.24
O5 0.2536 0.0031 0.5000  1 Np 2.18, 1 Pu 2.24
O6 0.7464 0.0031 0.5000  1 Np 2.18, 1 Pu 2.24
O7 0.2534 0.4964 0.5000  1 Np 2.18, 1 Pu 2.24
O8 0.7466 0.4964 0.5000  1 Np 2.18, 1 Pu 2.24
O9 0.7534 0.5036 0.0000  1 Np 2.18, 1 Pu 2.24
O10 0.2466 0.5036 0.0000  1 Np 2.18, 1 Pu 2.24
O11 0.2464 0.9969 0.0000  1 Np 2.18, 1 Pu 2.24
O12 0.7536 0.9969 0.0000  1 Np 2.18, 1 Pu 2.24

Properties
The calculation puts the uncorrected formation energy at -2.97 eV per atom. The calculation puts the calculated total energy at -9.062 eV per atom.

Record 7
# Y4MgAlZn2

An optimized crystal structure of Y4MgAlZn2 (PBE, Alexandria).

Unit cell a=5.1512 b=5.1512 c=8.9479 alpha=73.27 beta=73.27 gamma=60.00
Last column: nearest neighbours and their distance in Å.
Sites, in units of the cell vectors:
Y1 0.3786 0.3786 0.8643  1 Al 3.07, 4 Zn 3.08-3.11, 3 Mg 3.19
Y2 0.8719 0.8719 0.3844  3 Al 3.13, 4 Zn 3.23-3.24, 1 Mg 3.24
Y3 0.1281 0.1281 0.6156  3 Al 3.13, 4 Zn 3.23-3.24, 1 Mg 3.24
Y4 0.6214 0.6214 0.1357  1 Al 3.07, 4 Zn 3.08-3.11, 3 Mg 3.19
Mg1 0.0000 0.0000 0.0000  8 Y 3.19-3.24, 6 Zn 3.56
Al1 0.5000 0.5000 0.5000  8 Y 3.07-3.13
Zn1 0.7443 0.7443 0.7672  8 Y 3.08-3.24
Zn2 0.2557 0.2557 0.2328  8 Y 3.08-3.24

Properties
The calculation puts the calculated formation energy at -234 kJ/mol of formula units. The calculation puts the calculated total energy at -4.520 eV per atom.

Record 8
# Ho2Se2Cl

An optimized crystal structure of Ho2Se2Cl (PBE, Alexandria).

Unit cell a=5.6503 b=6.9621 c=8.0508 alpha=109.39 beta=90.00 gamma=113.94
Last column: nearest neighbours and their distance in Å.
Sites, in units of the cell vectors:
Ho1 0.1630 0.3260 0.5788  1 Cl 2.81, 5 Se 2.83-2.89
Ho2 0.8370 0.6740 0.4212  1 Cl 2.81, 5 Se 2.83-2.89
Ho3 0.4949 0.9898 0.2558  2 Cl 2.75-2.78, 4 Se 2.82-2.88
Ho4 0.5051 0.0102 0.7442  2 Cl 2.75-2.78, 4 Se 2.82-2.88
Se1 0.6757 0.3514 0.5979  5 Ho 2.82-2.89
Se2 0.3243 0.6486 0.4021  5 Ho 2.82-2.89
Se3 0.0104 0.0208 0.7623  4 Ho 2.83-2.84
Se4 0.9896 0.9792 0.2377  4 Ho 2.83-2.84
Cl1 0.3474 0.6947 0.9032  3 Ho 2.75-2.81
Cl2 0.6526 0.3053 0.0968  3 Ho 2.75-2.81

Properties
The calculation puts the uncorrected formation energy at -1.91 eV per atom. The calculation puts the calculated total energy at -5.500 eV per atom.